No. 1
BeBi2Cl: optimized geometry, PBE.

Cell lengths 7.893, 7.893, 7.893 Å; angles 133.80, 133.80, 67.40 degrees
Positions (direct):
Be1 0.000 0.000 0.000
Be2 0.750 0.250 0.500
Bi1 0.045 0.625 0.920
Bi2 0.375 0.295 0.420
Bi3 0.705 0.125 0.080
Bi4 0.875 0.955 0.580
Cl1 0.250 0.750 0.500
Cl2 0.500 0.500 0.000

Values from the calculation:
As for the density of states at the Fermi level: 1.309 states/eV/atom. The energy above the most stable polymorph in this dataset is 0.000 eV/atom. The value obtained for the formation energy (no corrections) is 0.266 eV/atom. For the total magnetization, the calculation gives 0.000 μB/atom.

---

No. 2
BeBiCl5: optimized geometry, PBE.

Cell lengths 6.893, 6.893, 9.879 Å; angles 110.55, 110.55, 87.14 degrees
Positions (direct):
Be1 0.136 0.864 0.750
Be2 0.864 0.136 0.250
Bi1 0.000 0.500 0.000
Bi2 0.500 0.000 0.500
Cl1 0.132 0.186 0.435
Cl2 0.170 0.616 0.824
Cl3 0.186 0.132 0.935
Cl4 0.358 0.642 0.250
Cl5 0.384 0.830 0.676
Cl6 0.616 0.170 0.324
Cl7 0.642 0.358 0.750
Cl8 0.814 0.868 0.065
Cl9 0.830 0.384 0.176
Cl10 0.868 0.814 0.565

Values from the calculation:
As for the density of states at the Fermi level: 0.000 states/eV/atom. The value obtained for the formation energy (no corrections) is -1.121 eV/atom. For the total magnetization, the calculation gives 0.000 μB/atom.

---

No. 3
Be2BiCl4: optimized geometry, PBE.

Cell lengths 7.907, 7.907, 7.907 Å; angles 137.95, 137.95, 60.98 degrees
Positions (direct):
Be1 0.075 0.075 0.000
Be2 0.925 0.925 0.000
Bi1 0.500 0.500 0.000
Cl1 0.000 0.500 0.500
Cl2 0.209 0.209 0.000
Cl3 0.500 0.000 0.500
Cl4 0.791 0.791 0.000

Values from the calculation:
As for the density of states at the Fermi level: 0.234 states/eV/atom. The value obtained for the formation energy (no corrections) is -0.392 eV/atom. For the total magnetization, the calculation gives 0.180 μB/atom.

---

No. 4
Be3BiCl: optimized geometry, PBE.

Cell lengths 4.416, 4.416, 4.416 Å; angles 90.00, 90.00, 90.00 degrees
Positions (direct):
Be1 0.000 0.000 0.500
Be2 0.000 0.500 0.000
Be3 0.500 0.000 0.000
Bi1 0.500 0.500 0.500
Cl1 0.000 0.000 0.000

Values from the calculation:
As for the density of states at the Fermi level: 0.181 states/eV/atom. The energy above the most stable polymorph in this dataset is 0.000 eV/atom. The value obtained for the formation energy (no corrections) is 1.012 eV/atom. For the total magnetization, the calculation gives 0.000 μB/atom.

---

No. 5
Cs2BeBiCl: optimized geometry, PBE.

Cell lengths 6.651, 6.651, 5.586 Å; angles 90.00, 90.00, 90.00 degrees
Positions (direct):
Cs1 0.000 0.500 0.000
Cs2 0.500 0.000 0.000
Be1 0.000 0.000 0.500
Bi1 0.500 0.500 0.500
Cl1 0.500 0.500 0.000

Values from the calculation:
As for the density of states at the Fermi level: 0.583 states/eV/atom. The value obtained for the formation energy (no corrections) is 0.087 eV/atom. For the total magnetization, the calculation gives 0.000 μB/atom.

---

No. 6
CsBeBiCl6: optimized geometry, PBE.

Cell lengths 7.036, 7.041, 8.038 Å; angles 89.96, 89.89, 60.18 degrees
Positions (direct):
Cs1 0.000 0.000 0.000
Be1 0.334 0.334 0.707
Bi1 0.669 0.666 0.450
Cl1 0.040 0.378 0.721
Cl2 0.378 0.584 0.722
Cl3 0.384 0.983 0.285
Cl4 0.582 0.042 0.721
Cl5 0.638 0.375 0.291
Cl6 0.992 0.631 0.289

Values from the calculation:
As for the density of states at the Fermi level: 0.000 states/eV/atom. The value obtained for the formation energy (no corrections) is -1.356 eV/atom. For the total magnetization, the calculation gives 0.000 μB/atom.

---

No. 7
BeGeBiCl2: optimized geometry, PBE.

Cell lengths 5.436, 5.436, 5.174 Å; angles 90.00, 90.00, 90.00 degrees
Positions (direct):
Be1 0.000 0.000 0.000
Ge1 0.500 0.500 0.000
Bi1 0.000 0.000 0.500
Cl1 0.000 0.500 0.500
Cl2 0.500 0.000 0.500

Values from the calculation:
As for the density of states at the Fermi level: 0.484 states/eV/atom. The value obtained for the formation energy (no corrections) is 0.566 eV/atom. For the total magnetization, the calculation gives 0.256 μB/atom.

---

No. 8
BeBi2ICl: optimized geometry, PBE.

Cell lengths 6.237, 6.237, 4.644 Å; angles 90.00, 90.00, 90.00 degrees
Positions (direct):
Be1 0.000 0.000 0.000
Bi1 0.000 0.500 0.500
Bi2 0.500 0.000 0.500
I1 0.000 0.000 0.500
Cl1 0.500 0.500 0.000

Values from the calculation:
As for the density of states at the Fermi level: 0.909 states/eV/atom. The value obtained for the formation energy (no corrections) is 1.033 eV/atom. For the total magnetization, the calculation gives 0.000 μB/atom.

---

No. 9
Be2BiICl: optimized geometry, PBE.

Cell lengths 5.230, 5.230, 5.240 Å; angles 90.00, 90.00, 90.00 degrees
Positions (direct):
Be1 0.000 0.500 0.000
Be2 0.500 0.000 0.000
Bi1 0.000 0.000 0.000
I1 0.500 0.500 0.500
Cl1 0.000 0.000 0.500

Values from the calculation:
As for the density of states at the Fermi level: 0.300 states/eV/atom. The value obtained for the formation energy (no corrections) is 0.598 eV/atom. For the total magnetization, the calculation gives 0.000 μB/atom.

---

No. 10
KBeBiCl2: optimized geometry, PBE.

Cell lengths 4.544, 4.544, 9.701 Å; angles 90.00, 90.00, 90.00 degrees
Positions (direct):
K1 0.000 0.000 0.000
Be1 0.000 0.000 0.500
Bi1 0.500 0.500 0.000
Cl1 0.000 0.500 0.500
Cl2 0.500 0.000 0.500

Values from the calculation:
As for the density of states at the Fermi level: 0.337 states/eV/atom. The energy above the most stable polymorph in this dataset is 0.000 eV/atom. The value obtained for the formation energy (no corrections) is -0.130 eV/atom. For the total magnetization, the calculation gives 0.322 μB/atom.

---

No. 11
KBeBiCl2: optimized geometry, PBE.

Cell lengths 5.539, 5.539, 5.755 Å; angles 90.00, 90.00, 90.00 degrees
Positions (direct):
K1 0.000 0.000 0.000
Be1 0.000 0.000 0.500
Bi1 0.500 0.500 0.500
Cl1 0.000 0.500 0.000
Cl2 0.500 0.000 0.000

Values from the calculation:
As for the density of states at the Fermi level: 0.820 states/eV/atom. The energy above the most stable polymorph in this dataset is 0.522 eV/atom. The value obtained for the formation energy (no corrections) is 0.392 eV/atom. For the total magnetization, the calculation gives 0.356 μB/atom.

---

No. 12
KBe2BiCl8: optimized geometry, PBE.

Cell lengths 10.319, 10.319, 10.319 Å; angles 35.15, 35.15, 35.15 degrees
Positions (direct):
K1 0.000 0.000 0.000
Be1 0.248 0.248 0.248
Be2 0.752 0.752 0.752
Bi1 0.500 0.500 0.500
Cl1 0.082 0.789 0.458
Cl2 0.211 0.542 0.918
Cl3 0.315 0.315 0.315
Cl4 0.458 0.082 0.789
Cl5 0.542 0.918 0.211
Cl6 0.685 0.685 0.685
Cl7 0.789 0.458 0.082
Cl8 0.918 0.211 0.542

Values from the calculation:
As for the density of states at the Fermi level: 0.000 states/eV/atom. The value obtained for the formation energy (no corrections) is -1.348 eV/atom. For the total magnetization, the calculation gives 0.000 μB/atom.

---

No. 13
MnBeBi2Cl: optimized geometry, PBE.

Cell lengths 5.031, 5.031, 4.356 Å; angles 90.00, 90.00, 90.00 degrees
Positions (direct):
Mn1 0.000 0.000 0.000
Be1 0.000 0.000 0.500
Bi1 0.000 0.500 0.000
Bi2 0.500 0.000 0.000
Cl1 0.500 0.500 0.500

Values from the calculation:
As for the density of states at the Fermi level: 0.365 states/eV/atom. The value obtained for the formation energy (no corrections) is 0.276 eV/atom. For the total magnetization, the calculation gives 0.000 μB/atom.

---

No. 14
BeBiPCl2: optimized geometry, PBE.

Cell lengths 5.304, 5.304, 5.576 Å; angles 90.00, 90.00, 90.00 degrees
Positions (direct):
Be1 0.000 0.000 0.000
Bi1 0.500 0.500 0.500
P1 0.500 0.500 0.000
Cl1 0.000 0.500 0.500
Cl2 0.500 0.000 0.500

Values from the calculation:
As for the density of states at the Fermi level: 0.528 states/eV/atom. The energy above the most stable polymorph in this dataset is 0.797 eV/atom. The value obtained for the formation energy (no corrections) is 0.655 eV/atom. For the total magnetization, the calculation gives 0.000 μB/atom.

---

No. 15
BeBiPCl2: optimized geometry, PBE.

Cell lengths 4.362, 4.362, 5.074 Å; angles 90.00, 90.00, 90.00 degrees
Positions (direct):
Be1 0.000 0.000 0.000
Bi1 0.500 0.500 0.500
P1 0.000 0.000 0.500
Cl1 0.000 0.500 0.000
Cl2 0.500 0.000 0.000

Values from the calculation:
As for the density of states at the Fermi level: 0.515 states/eV/atom. The energy above the most stable polymorph in this dataset is 0.000 eV/atom. The value obtained for the formation energy (no corrections) is -0.142 eV/atom. For the total magnetization, the calculation gives 0.000 μB/atom.

---

No. 16
BeBiPb2Cl: optimized geometry, PBE.

Cell lengths 6.410, 6.410, 4.395 Å; angles 90.00, 90.00, 90.00 degrees
Positions (direct):
Be1 0.000 0.000 0.000
Bi1 0.000 0.000 0.500
Pb1 0.000 0.500 0.500
Pb2 0.500 0.000 0.500
Cl1 0.500 0.500 0.000

Values from the calculation:
As for the density of states at the Fermi level: 0.468 states/eV/atom. The value obtained for the formation energy (no corrections) is 0.504 eV/atom. For the total magnetization, the calculation gives 0.000 μB/atom.

---

No. 17
RbBeBiCl6: optimized geometry, PBE.

Cell lengths 6.669, 6.669, 7.273 Å; angles 90.00, 90.00, 120.00 degrees
Positions (direct):
Rb1 0.000 0.000 0.000
Be1 0.333 0.667 0.500
Bi1 0.667 0.333 0.500
Cl1 0.047 0.394 0.691
Cl2 0.047 0.652 0.309
Cl3 0.348 0.394 0.309
Cl4 0.348 0.953 0.691
Cl5 0.606 0.652 0.691
Cl6 0.606 0.953 0.309

Values from the calculation:
As for the density of states at the Fermi level: 0.000 states/eV/atom. The value obtained for the formation energy (no corrections) is -1.250 eV/atom. For the total magnetization, the calculation gives 0.000 μB/atom.

---

No. 18
RbBe2BiCl8: optimized geometry, PBE.

Cell lengths 10.574, 10.574, 10.574 Å; angles 34.40, 34.40, 34.40 degrees
Positions (direct):
Rb1 0.000 0.000 0.000
Be1 0.246 0.246 0.246
Be2 0.754 0.754 0.754
Bi1 0.500 0.500 0.500
Cl1 0.084 0.788 0.462
Cl2 0.212 0.538 0.916
Cl3 0.311 0.311 0.311
Cl4 0.462 0.084 0.788
Cl5 0.538 0.916 0.212
Cl6 0.689 0.689 0.689
Cl7 0.788 0.462 0.084
Cl8 0.916 0.212 0.538

Values from the calculation:
As for the density of states at the Fermi level: 0.000 states/eV/atom. The value obtained for the formation energy (no corrections) is -1.363 eV/atom. For the total magnetization, the calculation gives 0.000 μB/atom.

---

No. 19
BeBiS2Cl: optimized geometry, PBE.

Cell lengths 4.657, 4.657, 4.231 Å; angles 90.00, 90.00, 90.00 degrees
Positions (direct):
Be1 0.000 0.000 0.000
Bi1 0.500 0.500 0.500
S1 0.000 0.500 0.000
S2 0.500 0.000 0.000
Cl1 0.000 0.000 0.500

Values from the calculation:
As for the density of states at the Fermi level: 0.208 states/eV/atom. The energy above the most stable polymorph in this dataset is 0.000 eV/atom. The value obtained for the formation energy (no corrections) is -0.263 eV/atom. For the total magnetization, the calculation gives 0.000 μB/atom.

---

No. 20
BeBiSCl2: optimized geometry, PBE.

Cell lengths 4.409, 4.409, 4.896 Å; angles 90.00, 90.00, 90.00 degrees
Positions (direct):
Be1 0.000 0.000 0.000
Bi1 0.500 0.500 0.500
S1 0.000 0.000 0.500
Cl1 0.000 0.500 0.000
Cl2 0.500 0.000 0.000

Values from the calculation:
As for the density of states at the Fermi level: 0.368 states/eV/atom. The energy above the most stable polymorph in this dataset is 0.000 eV/atom. The value obtained for the formation energy (no corrections) is -0.405 eV/atom. For the total magnetization, the calculation gives 0.000 μB/atom.